Entry from Alexandria: a relaxed structure of LiVP2O7 (PBE+U).

Cell: 6.631 6.726 7.221 Å, 88.43 74.40 73.67°
Element x y z (fractional)
Li  0.000  0.000  0.000
Li  0.500  0.000  0.000
V  0.230  0.487  0.514
V  0.770  0.513  0.486
P  0.358  0.119  0.627
P  0.371  0.576  0.909
P  0.629  0.424  0.091
P  0.642  0.881  0.373
O  0.027  0.745  0.606
O  0.092  0.410  0.323
O  0.142  0.692  0.995
O  0.306  0.035  0.827
O  0.367  0.946  0.459
O  0.456  0.348  0.003
O  0.458  0.540  0.689
O  0.542  0.460  0.311
O  0.544  0.652  0.997
O  0.633  0.054  0.541
O  0.694  0.965  0.173
O  0.858  0.308  0.005
O  0.908  0.590  0.677
O  0.973  0.255  0.394

Output
Size of the total moment: 4.0 μB per cell
Electronic total energy: -145.83 eV per cell
Crystal system: triclinic
DOS at the Fermi energy: 0.000 states/eV/atom